# Ni2SF, relaxed, DFT PBE with a Hubbard U
data_Ni2SF
_chemical_formula_sum 'Ni8 S4 F4'
_cell_length_a 5.704
_cell_length_b 5.704
_cell_length_c 5.704
_cell_angle_alpha 90.00
_cell_angle_beta 90.00
_cell_angle_gamma 90.00
_symmetry_space_group_name_H-M 'F m -3 m'
_symmetry_Int_Tables_number 225
_symmetry_space_group_name_Hall '-F 4 2 3'
loop_
_atom_site_label
_atom_site_type_symbol
_atom_site_fract_x
_atom_site_fract_y
_atom_site_fract_z
Ni1 Ni 0.250 0.250 0.250
S1 S 0.000 0.000 0.000
F1 F 0.000 0.000 0.500
# Magnetization = 3.0 μB/f.u.
# E_tot = -42.63 eV per cell